This record from Alexandria describes an optimized crystal structure of ThZr5Sc2. The functional is GGA-PBE.

POSCAR file:
```
ThZr5Sc2
1.0
6.516 0.000 0.000
0.000 6.516 0.000
0.000 0.000 9.109
Th Zr Sc
2 10 4
Cartesian
0.000 0.000 0.000 Th
3.258 3.258 4.555 Th
0.000 0.000 4.555 Zr
1.629 1.629 2.277 Zr
1.629 1.629 6.832 Zr
1.629 4.887 2.277 Zr
1.629 4.887 6.832 Zr
3.258 3.258 0.000 Zr
4.887 1.629 2.277 Zr
4.887 1.629 6.832 Zr
4.887 4.887 2.277 Zr
4.887 4.887 6.832 Zr
0.000 3.258 0.000 Sc
0.000 3.258 4.555 Sc
3.258 0.000 0.000 Sc
3.258 0.000 4.555 Sc
```

Symmetry: I4/mmm, No. 139
DFT total energy in eV/cell: -125.0
Magnetization in μB/cell: 0.00